(P)
## Mg3HgMo (PBE-GGA)

Data for crystalline Mg3HgMo at its relaxed geometry.

Structure (POSCAR):
```
Mg3HgMo
1.0
5.378 0.000 0.000
0.000 5.378 0.000
0.000 0.000 5.378
Mg Hg Mo
3 1 1
direct
0.000 0.000 0.500 Mg
0.000 0.500 0.000 Mg
0.500 0.000 0.000 Mg
0.500 0.500 0.500 Hg
0.000 0.000 0.000 Mo
```

Results
- Symmetry: Pm-3m
- Total moment: 3.449 μB per cell

***

(Q)
## Mg3HgMo (PBE-GGA)

Data for crystalline Mg3HgMo at its relaxed geometry.

Structure (POSCAR):
```
Mg3HgMo
1.0
5.136 0.000 0.000
0.000 5.136 0.000
0.000 0.000 5.136
Mg Hg Mo
3 1 1
direct
0.000 0.000 0.500 Mg
0.000 0.500 0.000 Mg
0.500 0.000 0.000 Mg
0.000 0.000 0.000 Hg
0.500 0.500 0.500 Mo
```

Results
- Symmetry: Pm-3m
- Total moment: 4.212 μB per cell

***

Which of them is the least stable? Correct choice: (P).

***

(P)
## MgHgMo3 (PBE-GGA)

Data for crystalline MgHgMo3 at its relaxed geometry.

Structure (POSCAR):
```
MgHgMo3
1.0
4.969 0.000 0.000
0.000 4.969 0.000
0.000 0.000 4.969
Mg Hg Mo
1 1 3
direct
0.000 0.000 0.000 Mg
0.500 0.500 0.500 Hg
0.000 0.500 0.500 Mo
0.500 0.000 0.500 Mo
0.500 0.500 0.000 Mo
```

Results
- Symmetry: Pm-3m
- Total moment: 0.006 μB per cell

***

(Q)
## MgHgMo3 (PBE-GGA)

Data for crystalline MgHgMo3 at its relaxed geometry.

Structure (POSCAR):
```
MgHgMo3
1.0
4.604 0.000 0.000
0.000 4.604 0.000
0.000 0.000 4.604
Mg Hg Mo
1 1 3
direct
0.000 0.000 0.000 Mg
0.500 0.500 0.500 Hg
0.000 0.000 0.500 Mo
0.000 0.500 0.000 Mo
0.500 0.000 0.000 Mo
```

Results
- Symmetry: Pm-3m
- Total moment: 0.000 μB per cell

***

Which of them is the least stable? Correct choice: (P).